Material: RbIO2
Method: DFT, PBE-GGA
State: relaxed

```
data_RbIO2
_chemical_formula_sum 'Rb3 I3 O6'
_cell_length_a 3.6899
_cell_length_b 3.6899
_cell_length_c 22.7002
_cell_angle_alpha 90.00
_cell_angle_beta 90.00
_cell_angle_gamma 120.00
_symmetry_space_group_name_H-M 'R -3 m'
_symmetry_Int_Tables_number 166
_symmetry_space_group_name_Hall '-R 3 2"'
loop_
_atom_site_label
_atom_site_type_symbol
_atom_site_fract_x
_atom_site_fract_y
_atom_site_fract_z
Rb1 Rb 0.0000 0.0000 0.0000
I1 I 0.0000 0.0000 0.5000
O1 O 0.0000 0.0000 0.4138
```

Results
- Uncorrected formation energy: -0.513 eV/atom

Material: ZrCoTc
Method: DFT, PBE-GGA
State: relaxed

```
data_ZrCoTc
_chemical_formula_sum 'Zr4 Co4 Tc4'
_cell_length_a 4.991
_cell_length_b 5.104
_cell_length_c 7.345
_cell_angle_alpha 90.00
_cell_angle_beta 90.00
_cell_angle_gamma 90.00
_symmetry_space_group_name_H-M 'I m m a'
_symmetry_Int_Tables_number 74
_symmetry_space_group_name_Hall '-I 2b 2'
loop_
_atom_site_label
_atom_site_type_symbol
_atom_site_fract_x
_atom_site_fract_y
_atom_site_fract_z
Zr1 Zr 0.000 0.250 0.124
Co1 Co 0.000 0.000 0.500
Tc1 Tc 0.250 0.250 0.750
```

Results
- Energy of formation: -0.29 eV/atom

Material: Li2Ga6Pd
Method: DFT, PBE-GGA
State: relaxed

```
data_Li2Ga6Pd
_chemical_formula_sum 'Li4 Ga12 Pd2'
_cell_length_a 10.422
_cell_length_b 5.999
_cell_length_c 5.242
_cell_angle_alpha 90.00
_cell_angle_beta 90.32
_cell_angle_gamma 90.00
_symmetry_space_group_name_H-M 'C 1 2/m 1'
_symmetry_Int_Tables_number 12
loop_
_symmetry_equiv_pos_as_xyz
'x,y,z'
'-x,-y,-z'
'-x,y,-z'
'x,-y,z'
'x+1/2,y+1/2,z'
'-x+1/2,-y+1/2,-z'
'-x+1/2,y+1/2,-z'
'x+1/2,-y+1/2,z'
loop_
_atom_site_label
_atom_site_type_symbol
_atom_site_fract_x
_atom_site_fract_y
_atom_site_fract_z
Li1 Li 0.166 0.000 0.169
Ga1 Ga 0.092 0.226 0.680
Ga2 Ga 0.184 0.500 0.320
Pd1 Pd 0.000 0.500 0.000
```

Results
- Energy of formation: -0.25 eV/atom

Number 1: ρ 4.55 Mg/m³, calculated total energy -43.46 eV/cell, density of states at the Fermi level 0.5211 states/eV per atom. Number 2: ρ 8.81 Mg/m³, calculated total energy -107.60 eV/cell, density of states at the Fermi level 1.2824 states/eV per atom. Number 3: ρ 5.46 Mg/m³, calculated total energy -58.78 eV/cell, density of states at the Fermi level 0.2816 states/eV per atom.